Computed, not measured: crystalline Rb3Pa3Te8Pb at its relaxed geometry at the GGA-PBE level of DFT.

Lattice parameters (Å, degrees): 9.060 9.060 10.122 116.59 90.00 120.00
Fractional positions:
Rb  0.000  0.000  0.000
Te  0.757  0.040  0.297
Pa  0.500  0.500  0.500
Pa  0.000  0.500  0.500
Te  0.717  0.960  0.703
Te  0.757  0.513  0.297
Rb  0.500  0.500  0.000
Rb  0.000  0.500  0.000
Pb  0.000  0.000  0.500
Pa  0.500  0.000  0.500
Te  0.266  0.532  0.298
Te  0.243  0.487  0.703
Te  0.734  0.468  0.702
Te  0.243  0.960  0.703
Te  0.283  0.040  0.297

Calculated values
Its final energy is -4.890 eV per atom. The calculation puts the density at 5.9 g/cm3. The calculation puts the uncorrected formation energy at -20.17 kcal/mol of atoms. The symmetry is R-3m, No. 166. The calculation puts the total moment at 4.0 μB per cell.

***

Computed, not measured: crystalline Pa2RePb at its relaxed geometry at the GGA-PBE level of DFT.

Lattice parameters (Å, degrees): 3.256 3.256 8.932 90.00 90.00 90.00
Fractional positions:
Re  0.500  0.500  0.000
Pa  0.000  0.000  0.207
Pa  0.000  0.000  0.793
Pb  0.500  0.500  0.500

Calculated values
Its final energy is -8.906 eV per atom. The calculation puts the density at 15.0 g/cm3. The symmetry is P4/mmm, No. 123. The calculation puts the total moment at 0.0 μB per cell. The value obtained for the energy of formation is -119 meV/atom.

***

Computed, not measured: crystalline Pa2RePb at its relaxed geometry at the GGA-PBE level of DFT.

Lattice parameters (Å, degrees): 3.993 3.993 8.246 75.99 75.99 60.00
Fractional positions:
Pb  0.500  0.500  0.500
Pa  0.731  0.731  0.808
Pa  0.269  0.269  0.192
Re  0.000  0.000  0.000

Calculated values
Its final energy is -8.678 eV per atom. The calculation puts the density at 13.0 g/cm3. The symmetry is R-3m, No. 166. The calculation puts the total moment at 0.0 μB per cell. The value obtained for the energy of formation is 109 meV/atom.

***

Computed, not measured: crystalline PaRePb at its relaxed geometry at the GGA-PBE level of DFT.

Lattice parameters (Å, degrees): 3.123 3.123 14.643 96.12 96.12 90.00
Fractional positions:
Pa  0.151  0.151  0.303
Pb  0.558  0.558  0.116
Pa  0.849  0.849  0.697
Re  0.725  0.725  0.449
Re  0.275  0.275  0.551
Pb  0.442  0.442  0.884

Calculated values
Its final energy is -8.527 eV per atom. The calculation puts the density at 14.7 g/cm3. The symmetry is I4/mmm, No. 139. The calculation puts the total moment at 0.0 μB per cell. The value obtained for the energy of formation is 24 meV/atom.

***

Computed, not measured: crystalline PaRePb at its relaxed geometry at the GGA-PBE level of DFT.

Lattice parameters (Å, degrees): 3.339 3.339 6.528 104.82 104.82 90.00
Fractional positions:
Pa  0.692  0.692  0.384
Pb  0.980  0.980  0.961
Re  0.328  0.328  0.655

Calculated values
Its final energy is -8.345 eV per atom. The calculation puts the density at 15.3 g/cm3. The symmetry is I4mm, No. 107. The calculation puts the total moment at 0.0 μB per cell. The value obtained for the energy of formation is 205 meV/atom.

***

Computed, not measured: crystalline PaRhPb at its relaxed geometry at the GGA-PBE level of DFT.

Lattice parameters (Å, degrees): 3.515 3.515 13.273 90.00 90.00 120.00
Fractional positions:
Rh  0.333  0.667  0.136
Pa  0.000  0.000  0.000
Pb  0.000  0.000  0.296
Pb  0.000  0.000  0.704
Pa  0.333  0.667  0.500
Rh  0.333  0.667  0.864

Calculated values
Its final energy is -6.989 eV per atom. The calculation puts the density at 12.7 g/cm3. The symmetry is P-6m2, No. 187. The calculation puts the total moment at 0.1 μB per cell. The value obtained for the energy of formation is -137 meV/atom.

***

Computed, not measured: crystalline PaRhPb at its relaxed geometry at the GGA-PBE level of DFT.

Lattice parameters (Å, degrees): 4.710 4.710 4.710 60.00 60.00 60.00
Fractional positions:
Rh  0.250  0.250  0.250
Pa  0.000  0.000  0.000
Pb  0.500  0.500  0.500

Calculated values
Its final energy is -7.268 eV per atom. The calculation puts the density at 12.2 g/cm3. The symmetry is F-43m, No. 216. The calculation puts the total moment at 0.0 μB per cell. The value obtained for the energy of formation is -416 meV/atom.

***

Computed, not measured: crystalline PaRhPb at its relaxed geometry at the GGA-PBE level of DFT.

Lattice parameters (Å, degrees): 3.381 3.381 6.475 105.13 105.13 90.00
Fractional positions:
Pb  0.015  0.015  0.031
Rh  0.681  0.681  0.361
Pa  0.304  0.304  0.608

Calculated values
Its final energy is -7.203 eV per atom. The calculation puts the density at 13.1 g/cm3. The symmetry is I4mm, No. 107. The calculation puts the total moment at 0.0 μB per cell. The value obtained for the energy of formation is -351 meV/atom.